[1]
Here is a geometry-optimized YHf2Sc structure from OQMD via LeMat-Bulk. Energies are from PBE-GGA.

a = 5.164 Å, b = 5.164 Å, c = 5.164 Å
α = 60.00°, β = 60.00°, γ = 60.00°
Positions (direct):
1 Y 0.000 0.000 0.000
2 Hf 0.250 0.250 0.250
3 Hf 0.500 0.500 0.500
4 Sc 0.750 0.750 0.750

energy of formation from the pure elements: 263 meV per atom
symmetry: F-43m (216)

***

[2]
Here is a geometry-optimized Y2HfSc structure from OQMD via LeMat-Bulk. Energies are from PBE-GGA.

a = 5.347 Å, b = 5.347 Å, c = 5.347 Å
α = 60.00°, β = 60.00°, γ = 60.00°
Positions (direct):
1 Y 0.000 0.000 0.000
2 Y 0.250 0.250 0.250
3 Hf 0.750 0.750 0.750
4 Sc 0.500 0.500 0.500

energy of formation from the pure elements: 268 meV per atom
symmetry: F-43m (216)

***

[3]
Here is a geometry-optimized HfScZn structure from OQMD via LeMat-Bulk. Energies are from PBE-GGA.

a = 4.650 Å, b = 4.650 Å, c = 4.650 Å
α = 60.00°, β = 60.00°, γ = 60.00°
Positions (direct):
1 Hf 0.000 0.000 0.000
2 Sc 0.750 0.750 0.750
3 Zn 0.250 0.250 0.250

energy of formation from the pure elements: 802 meV per atom
symmetry: F-43m (216)
polymorph energy (0 for the lowest one): 0 meV/atom

***

[4]
Here is a geometry-optimized HfScZn6 structure from OQMD via LeMat-Bulk. Energies are from PBE-GGA.

a = 4.304 Å, b = 5.751 Å, c = 5.751 Å
α = 65.88°, β = 90.00°, γ = 90.00°
Positions (direct):
1 Hf 0.000 0.000 0.000
2 Sc 0.500 0.727 0.727
3 Zn 0.000 0.057 0.483
4 Zn 0.000 0.483 0.057
5 Zn 0.000 0.535 0.535
6 Zn 0.500 0.187 0.187
7 Zn 0.500 0.244 0.667
8 Zn 0.500 0.667 0.244

energy of formation from the pure elements: -260 meV per atom
symmetry: Amm2 (38)